A plane-wave DFT calculation with GGA-PBE was carried out for a geometry-optimized LiTlRh2O4 structure.

Output
ΔE_f (raw): -0.7792 eV per atom
DFT total energy: -5.631 eV per atom
magnetization: 0.000 μB per cell

abc: 5.5688 3.2273 5.9606
angles: 90.00 109.03 90.00
With the nearest neighbours (Å) after each atom.
Atoms (fractional coordinates):
Li 0.0000 0.0000 0.0000  6 O 2.54-2.64
Tl 0.5000 0.5000 0.0000  6 O 2.64
Rh 0.0000 0.5000 0.5000  6 O 2.07-2.09
Rh 0.5000 0.0000 0.5000  6 O 2.12-2.15
O 0.2180 0.0000 0.6682  3 Rh 2.07-2.12
O 0.2604 0.5000 0.3155  3 Rh 2.09-2.15
O 0.7396 0.5000 0.6845  3 Rh 2.09-2.15
O 0.7820 0.0000 0.3318  3 Rh 2.07-2.12